(1)
VASP calculation (PBE-GGA) on a relaxed KCdPb crystal.

Cell lengths 4.764, 6.836, 7.625 Å; angles 71.48, 71.86, 69.62 degrees
Fractional positions:
K 0.077 0.145 0.201
K 0.923 0.855 0.799
Cd 0.381 0.563 0.176
Cd 0.619 0.437 0.824
Pb 0.301 0.313 0.583
Pb 0.699 0.687 0.417

- Theoretical density: 5.541 g/cm3
- Polymorph energy (0 for the lowest one): 0.04 eV/f.u.
- Calculated volume: 215 Å³ per cell
- Formation energy from the elements: -0.13 eV/atom
- Crystal system: triclinic



(2)
VASP calculation (PBE-GGA) on a relaxed KCdPb11 crystal.

Cell lengths 8.661, 8.661, 8.792 Å; angles 97.32, 97.32, 135.85 degrees
Fractional positions:
K 0.000 0.000 0.000
Cd 0.500 0.500 0.500
Pb 0.000 0.000 0.500
Pb 0.000 0.500 0.000
Pb 0.002 0.647 0.644
Pb 0.290 0.506 0.777
Pb 0.353 0.998 0.356
Pb 0.494 0.710 0.223
Pb 0.500 0.000 0.000
Pb 0.506 0.290 0.777
Pb 0.647 0.002 0.644
Pb 0.710 0.494 0.223
Pb 0.998 0.353 0.356

- Theoretical density: 9.340 g/cm3
- Calculated volume: 432 Å³ per cell
- Formation energy from the elements: -0.02 eV/atom
- Crystal system: monoclinic



(3)
VASP calculation (PBE-GGA) on a relaxed KCdPb crystal.

Cell lengths 3.635, 3.635, 8.659 Å; angles 90.00, 90.00, 120.00 degrees
Fractional positions:
K 0.000 0.000 0.000
Cd 0.667 0.333 0.665
Pb 0.333 0.667 0.363

- Theoretical density: 6.012 g/cm3
- Polymorph energy (0 for the lowest one): 0.66 eV/f.u.
- Calculated volume: 99 Å³ per cell
- Formation energy from the elements: 0.08 eV/atom
- Crystal system: trigonal



(4)
VASP calculation (PBE-GGA) on a relaxed K3Cd5Pb2 crystal.

Cell lengths 10.623, 10.623, 10.623 Å; angles 113.29, 80.77, 139.91 degrees
Fractional positions:
K 0.133 0.730 0.863
K 0.250 0.250 0.000
K 0.367 0.230 0.597
K 0.633 0.770 0.403
K 0.750 0.750 0.000
K 0.867 0.270 0.137
Cd 0.019 0.250 0.769
Cd 0.133 0.415 0.548
Cd 0.250 0.750 0.500
Cd 0.367 0.915 0.281
Cd 0.481 0.250 0.231
Cd 0.519 0.750 0.769
Cd 0.633 0.085 0.719
Cd 0.750 0.250 0.500
Cd 0.867 0.585 0.452
Cd 0.981 0.750 0.231
Pb 0.143 0.164 0.307
Pb 0.357 0.664 0.021
Pb 0.643 0.336 0.979
Pb 0.857 0.836 0.693

- Theoretical density: 5.277 g/cm3
- Calculated volume: 688 Å³ per cell
- Formation energy from the elements: -0.04 eV/atom
- Crystal system: orthorhombic



(5)
VASP calculation (PBE-GGA) on a relaxed K2Cd2Pb crystal.

Cell lengths 8.299, 8.299, 8.299 Å; angles 145.00, 145.00, 50.34 degrees
Fractional positions:
K 0.250 0.750 0.500
K 0.750 0.250 0.500
Cd 0.092 0.092 0.000
Cd 0.908 0.908 0.000
Pb 0.500 0.500 0.000

- Theoretical density: 4.527 g/cm3
- Polymorph energy (0 for the lowest one): 1.70 eV/f.u.
- Calculated volume: 187 Å³ per cell
- Formation energy from the elements: 0.20 eV/atom
- Crystal system: tetragonal



(6)
VASP calculation (PBE-GGA) on a relaxed K3CdPb crystal.

Cell lengths 6.526, 6.526, 11.970 Å; angles 90.00, 90.00, 123.78 degrees
Fractional positions:
K 0.118 0.882 0.750
K 0.184 0.816 0.090
K 0.184 0.816 0.410
K 0.816 0.184 0.590
K 0.816 0.184 0.910
K 0.882 0.118 0.250
Cd 0.500 0.500 0.000
Cd 0.500 0.500 0.500
Pb 0.438 0.562 0.750
Pb 0.562 0.438 0.250

- Theoretical density: 3.424 g/cm3
- Polymorph energy (0 for the lowest one): 0.00 eV/f.u.
- Calculated volume: 424 Å³ per cell
- Formation energy from the elements: -0.11 eV/atom
- Crystal system: orthorhombic